[1]
Entry from Alexandria via LeMat-Bulk: Ba2TaTl after structural relaxation (PBE).

Lattice parameters (Å, degrees): 6.9605 10.5743 3.4953 90.00 90.00 90.00
Space group Cmmm (No. 65)
Unique sites:
Ba 0.2500 0.2500 0.0000
Ta 0.0000 0.0000 0.5000
Tl 0.0000 0.5000 0.5000

DOS(E_F) ... 9.92 states/eV/cell
Uncorrected energy ... -3.767 eV/atom
Crystal system ... orthorhombic
Calculated density ... 8.52 g/cm³
E above lowest polymorph ... 0.210 eV per atom
Formation energy ... 749 meV per atom


[2]
Entry from Alexandria via LeMat-Bulk: Zr3Al after structural relaxation (PBE).

Lattice parameters (Å, degrees): 3.1511 10.1916 5.3527 90.00 90.00 90.00
Space group Imm2 (No. 44)
Unique sites:
Zr 0.0000 0.0000 0.0000
Zr 0.0000 0.2381 0.6468
Al 0.0000 0.5000 0.9742

DOS(E_F) ... 8.18 states/eV/cell
Uncorrected energy ... -7.537 eV/atom
Crystal system ... orthorhombic
Calculated density ... 5.81 g/cm³
Formation energy ... -190 meV per atom


[3]
Entry from Alexandria via LeMat-Bulk: TaRuRh2 after structural relaxation (PBE).

Lattice parameters (Å, degrees): 2.8103 4.4195 4.8060 90.00 90.00 90.00
Space group Pmm2 (No. 25)
Unique sites:
Ta 0.0000 0.0000 0.0000
Ru 0.0000 0.5000 0.3394
Rh 0.5000 0.0000 0.4863
Rh 0.5000 0.5000 0.8284

DOS(E_F) ... 2.86 states/eV/cell
Uncorrected energy ... -9.293 eV/atom
Crystal system ... orthorhombic
Calculated density ... 13.57 g/cm³
E above lowest polymorph ... 0.138 eV per atom
Formation energy ... -335 meV per atom


[4]
Entry from Alexandria via LeMat-Bulk: Ag6SeBr3F2 after structural relaxation (PBE).

Lattice parameters (Å, degrees): 6.7855 11.8587 6.6630 90.00 110.46 90.00
Space group C2/m (No. 12)
Unique sites:
Ag 0.2267 0.0000 0.2122
Ag 0.2422 0.3292 0.2092
Se 0.0000 0.5000 0.0000
Br 0.0000 0.0000 0.5000
Br 0.0000 0.3243 0.5000
F 0.0000 0.1659 0.0000

DOS(E_F) ... 13.64 states/eV/cell
Uncorrected energy ... -2.906 eV/atom
Crystal system ... monoclinic
Calculated density ... 6.64 g/cm³
ΔE_f (raw) ... -460 meV/atom


[5]
Entry from Alexandria via LeMat-Bulk: K2ZnAs after structural relaxation (PBE).

Lattice parameters (Å, degrees): 3.7931 3.7931 9.9073 90.00 90.00 90.00
Space group P4mm (No. 99)
Unique sites:
K 0.0000 0.0000 0.0000
K 0.5000 0.5000 0.4037
Zn 0.0000 0.0000 0.6900
As 0.5000 0.5000 0.7296

DOS(E_F) ... 1.92 states/eV/cell
Uncorrected energy ... -2.061 eV/atom
Crystal system ... tetragonal
Calculated density ... 2.55 g/cm³
E above lowest polymorph ... 0.228 eV per atom
Formation energy ... -32 meV per atom


[6]
Entry from Alexandria via LeMat-Bulk: CeHoC after structural relaxation (PBE).

Lattice parameters (Å, degrees): 3.5399 3.5399 12.3311 90.00 90.00 120.00
Space group P-6m2 (No. 187)
Unique sites:
Ce 0.0000 0.0000 0.1180
Ho 0.3333 0.6667 0.3849
C 0.0000 0.0000 0.5000
C 0.3333 0.6667 0.0000

DOS(E_F) ... 9.64 states/eV/cell
Uncorrected energy ... -6.522 eV/atom
Crystal system ... hexagonal
Calculated density ... 7.87 g/cm³
E above lowest polymorph ... 0.269 eV per atom
Formation energy ... 56 meV per atom


[7]
Entry from Alexandria via LeMat-Bulk: Zn2CoTc after structural relaxation (PBE).

Lattice parameters (Å, degrees): 5.2185 8.5446 2.5481 90.00 108.62 90.00
Space group C2/m (No. 12)
Unique sites:
Zn 0.2500 0.2500 0.0000
Co 0.0000 0.0000 0.5000
Tc 0.0000 0.5000 0.5000

DOS(E_F) ... 6.32 states/eV/cell
Uncorrected energy ... -4.886 eV/atom
Crystal system ... monoclinic
Calculated density ... 8.88 g/cm³
E above lowest polymorph ... 0.138 eV per atom
Formation energy ... 119 meV per atom


[8]
Entry from Alexandria via LeMat-Bulk: PmSm5Tm2Sc after structural relaxation (PBE).

Lattice parameters (Å, degrees): 5.5937 20.1006 10.4472 90.00 90.00 90.00
Space group Cmc2_1 (No. 36)
Unique sites:
Pm 0.0000 0.0907 0.0000
Sm 0.0000 0.0163 0.2849
Sm 0.0000 0.1240 0.5632
Sm 0.0000 0.2008 0.2509
Sm 0.0000 0.2238 0.8652
Sm 0.0000 0.4829 0.5592
Tm 0.0000 0.3847 0.2810
Tm 0.0000 0.3878 0.8531
Sc 0.0000 0.3055 0.5588

DOS(E_F) ... 57.60 states/eV/cell
Uncorrected energy ... -4.681 eV/atom
Crystal system ... orthorhombic
Calculated density ... 7.24 g/cm³
Formation energy ... 166 meV per atom


What is the uncorrected energy in the eighth record? -4.681 eV/atom